Entry 1:
A relaxed TcP2OsO crystal, computed with PBE-GGA.

The density of states at the Fermi level comes out at 2.90 states/eV/f.u. The value obtained for the calculated density is 7.59 Mg/m³. The value obtained for the relative energy among the computed polymorphs is 105 meV per atom. For the volume, the calculation gives 16.02 Å³/atom. For the total energy, the calculation gives -6.849 eV/atom.

The space group is P4/mmm (No. 123) and the conventional cell measures 4.717, 4.717 and 3.601 Å, with angles of 90.00, 90.00 and 90.00 degrees. Symmetry generates all atoms from Tc at (0.000, 0.000, 0.000), P at (0.000, 0.500, 0.000), Os at (0.500, 0.500, 0.500) and O at (0.000, 0.000, 0.500).


Entry 2:
A relaxed Mg2CdCo crystal, computed with PBE-GGA.

The density of states at the Fermi level comes out at 3.80 states/eV/f.u. The value obtained for the calculated density is 5.10 Mg/m³. For the volume, the calculation gives 17.90 Å³/atom. For the total energy, the calculation gives -2.682 eV/atom.

The space group is P4mm (No. 99) and the conventional cell measures 3.248, 3.248 and 6.788 Å, with angles of 90.00, 90.00 and 90.00 degrees. Symmetry generates all atoms from Mg at (0.000, 0.000, 0.000), Mg at (0.500, 0.500, 0.299), Cd at (0.000, 0.000, 0.581) and Co at (0.500, 0.500, 0.807).


Entry 3:
A relaxed Tl2CoNiCl6 crystal, computed with PBE-GGA.

The density of states at the Fermi level comes out at 2.60 states/eV/f.u. The value obtained for the calculated density is 5.12 Mg/m³. For the volume, the calculation gives 23.97 Å³/atom. For the total energy, the calculation gives -3.601 eV/atom.

The space group is R-3m (No. 166, hexagonal axes) and the conventional cell measures 6.9572, 6.9572 and 34.3072 Å, with angles of 90.00, 90.00 and 120.00 degrees. Symmetry generates all atoms from Tl at (0.0000, 0.0000, 0.1202), Tl at (0.0000, 0.0000, 0.2954), Co at (0.0000, 0.0000, 0.4153), Ni at (0.0000, 0.0000, 0.0000), Ni at (0.0000, 0.0000, 0.5000), Cl at (0.0032, 0.5016, 0.7073) and Cl at (0.0174, 0.5087, 0.1240).


Entry 4:
A relaxed LiSm2CdSe4 crystal, computed with PBE-GGA.

The density of states at the Fermi level comes out at 4.32 states/eV/f.u. The value obtained for the calculated density is 5.97 Mg/m³. For the volume, the calculation gives 25.57 Å³/atom. For the total energy, the calculation gives -4.657 eV/atom.

The space group is P2/m (No. 10) and the conventional cell measures 7.130, 4.129 and 7.337 Å, with angles of 90.00, 108.72 and 90.00 degrees. Symmetry generates all atoms from Li at (0.000, 0.000, 0.000), Sm at (0.000, 0.500, 0.500), Sm at (0.500, 0.000, 0.500), Cd at (0.500, 0.500, 0.000), Se at (0.248, 0.000, 0.749) and Se at (0.251, 0.500, 0.249).


Entry 5:
A relaxed Ca3TiMn crystal, computed with PBE-GGA.

The density of states at the Fermi level comes out at 13.89 states/eV/f.u. The value obtained for the calculated density is 2.04 Mg/m³. The value obtained for the relative energy among the computed polymorphs is 703 meV per atom. For the volume, the calculation gives 36.34 Å³/atom. For the total energy, the calculation gives -3.002 eV/atom.

The space group is Pm-3m (No. 221) and the conventional cell measures 5.664, 5.664 and 5.664 Å, with angles of 90.00, 90.00 and 90.00 degrees. Symmetry generates all atoms from Ca at (0.000, 0.000, 0.500), Ti at (0.000, 0.000, 0.000) and Mn at (0.500, 0.500, 0.500).


Entry 6:
A relaxed SrEuAsCl crystal, computed with PBE-GGA.

The density of states at the Fermi level comes out at 14.20 states/eV/f.u. The value obtained for the calculated density is 5.40 Mg/m³. For the volume, the calculation gives 26.92 Å³/atom. For the total energy, the calculation gives -6.108 eV/atom.

The space group is F-43m (No. 216) and the conventional cell measures 7.552, 7.552 and 7.552 Å, with angles of 90.00, 90.00 and 90.00 degrees. Symmetry generates all atoms from Sr at (0.000, 0.000, 0.000), Eu at (0.000, 0.000, 0.500), As at (0.250, 0.250, 0.250) and Cl at (0.250, 0.250, 0.750).


Entry 7:
A relaxed BeTlSe crystal, computed with PBE-GGA.

The density of states at the Fermi level comes out at 0.46 states/eV/f.u. The value obtained for the calculated density is 6.37 Mg/m³. The value obtained for the relative energy among the computed polymorphs is 0 meV per atom. For the volume, the calculation gives 25.42 Å³/atom. For the total energy, the calculation gives -3.530 eV/atom.

The space group is Cm (No. 8) and the conventional cell measures 6.292, 3.607 and 6.812 Å, with angles of 90.00, 99.49 and 90.00 degrees. Symmetry generates all atoms from Be at (0.000, 0.000, 0.000), Tl at (0.274, 0.000, 0.607) and Se at (0.347, 0.000, 0.080).


Entry 8:
A relaxed SrSCl2O crystal, computed with PBE-GGA.

The density of states at the Fermi level comes out at 1.20 states/eV/f.u. The value obtained for the calculated density is 3.55 Mg/m³. The value obtained for the relative energy among the computed polymorphs is 0 meV per atom. For the volume, the calculation gives 19.34 Å³/atom. For the total energy, the calculation gives -3.553 eV/atom.

The space group is P4/mmm (No. 123) and the conventional cell measures 4.698, 4.698 and 4.382 Å, with angles of 90.00, 90.00 and 90.00 degrees. Symmetry generates all atoms from Sr at (0.000, 0.000, 0.000), S at (0.500, 0.500, 0.000), Cl at (0.000, 0.500, 0.500) and O at (0.500, 0.500, 0.500).


Entry 9:
A relaxed CeNdTh2 crystal, computed with PBE-GGA.

The density of states at the Fermi level comes out at 6.97 states/eV/f.u. The value obtained for the calculated density is 9.82 Mg/m³. The value obtained for the relative energy among the computed polymorphs is 0 meV per atom. For the volume, the calculation gives 31.63 Å³/atom. For the total energy, the calculation gives -6.336 eV/atom.

The space group is P4/mmm (No. 123) and the conventional cell measures 3.550, 3.550 and 10.040 Å, with angles of 90.00, 90.00 and 90.00 degrees. Symmetry generates all atoms from Ce at (0.000, 0.000, 0.000), Nd at (0.000, 0.000, 0.500) and Th at (0.500, 0.500, 0.238).


Entry 10:
A relaxed LiHSeBrF crystal, computed with PBE-GGA.

The density of states at the Fermi level comes out at 0.85 states/eV/f.u. The value obtained for the calculated density is 2.93 Mg/m³. The value obtained for the relative energy among the computed polymorphs is 34 meV per atom. For the volume, the calculation gives 21.07 Å³/atom. For the total energy, the calculation gives -3.485 eV/atom.

The space group is Cm (No. 8) and the conventional cell measures 11.678, 2.725 and 7.417 Å, with angles of 90.00, 116.76 and 90.00 degrees. Symmetry generates all atoms from Li at (0.000, 0.000, 0.000), H at (0.225, 0.500, 0.132), Se at (0.393, 0.500, 0.258), Br at (0.295, 0.500, 0.678) and F at (0.113, 0.500, 0.054).


Entry 11:
A relaxed Ho3Ge3Pt crystal, computed with PBE-GGA.

The density of states at the Fermi level comes out at 4.01 states/eV/f.u. The value obtained for the calculated density is 10.12 Mg/m³. For the volume, the calculation gives 21.28 Å³/atom. For the total energy, the calculation gives -5.782 eV/atom.

The space group is C2/m (No. 12) and the conventional cell measures 10.562, 4.300 and 13.938 Å, with angles of 90.00, 109.75 and 90.00 degrees. Symmetry generates all atoms from Ho at (0.032, 0.000, 0.378), Ho at (0.101, 0.000, 0.924), Ho at (0.242, 0.000, 0.227), Ge at (0.028, 0.500, 0.229), Ge at (0.122, 0.500, 0.074), Ge at (0.133, 0.500, 0.539) and Pt at (0.248, 0.500, 0.387).


Entry 12:
A relaxed Sr2AlCr crystal, computed with PBE-GGA.

The density of states at the Fermi level comes out at 3.18 states/eV/f.u. The value obtained for the calculated density is 3.37 Mg/m³. For the volume, the calculation gives 31.28 Å³/atom. For the total energy, the calculation gives -3.913 eV/atom.

The space group is P4mm (No. 99) and the conventional cell measures 3.699, 3.699 and 9.142 Å, with angles of 90.00, 90.00 and 90.00 degrees. Symmetry generates all atoms from Sr at (0.000, 0.000, 0.000), Sr at (0.500, 0.500, 0.387), Al at (0.000, 0.000, 0.637) and Cr at (0.500, 0.500, 0.742).


Entry 13:
A relaxed CaTb2Tl crystal, computed with PBE-GGA.

The density of states at the Fermi level comes out at 3.96 states/eV/f.u. The value obtained for the calculated density is 7.82 Mg/m³. The value obtained for the relative energy among the computed polymorphs is 97 meV per atom. For the volume, the calculation gives 29.84 Å³/atom. For the total energy, the calculation gives -3.458 eV/atom.

The space group is Fm-3m (No. 225) and the conventional cell measures 7.816, 7.816 and 7.816 Å, with angles of 90.00, 90.00 and 90.00 degrees. Symmetry generates all atoms from Ca at (0.000, 0.000, 0.000), Tb at (0.250, 0.250, 0.250) and Tl at (0.000, 0.000, 0.500).